# 1
The following is a DFT calculation (GGA-PBE) of a relaxed structure of Tb11Pr4Dy9.

Computed properties:
Calculated volume, Å³/atom: 32.7
Space-group type: Cmmm, No. 65
Calculated formation energy, kJ/mol of atoms: 6
E_tot, hartree per atom: -0.1683

POSCAR file:
```
Tb11Pr4Dy9
1.0
8.3987 -12.6210 0.0000
8.3987 12.6210 0.0000
0.0000 0.0000 3.7047
Tb Pr Dy
11 4 9
Cartesian
0.0000 0.0000 0.0000 Tb
3.7935 4.5760 0.0000 Tb
8.3987 8.6062 0.0000 Tb
4.8217 0.0000 0.0000 Tb
8.3987 3.4276 0.0000 Tb
3.7935 -4.5760 0.0000 Tb
13.0040 4.5760 0.0000 Tb
8.3987 -3.4276 0.0000 Tb
11.9758 0.0000 0.0000 Tb
8.3987 -8.6062 0.0000 Tb
13.0040 -4.5760 0.0000 Tb
5.8036 2.5356 1.8523 Pr
5.8036 -2.5356 1.8523 Pr
10.9939 2.5356 1.8523 Pr
10.9939 -2.5356 1.8523 Pr
2.3211 1.8434 1.8523 Dy
6.6954 5.9681 1.8523 Dy
2.3211 -1.8434 1.8523 Dy
10.1021 5.9681 1.8523 Dy
8.3987 0.0000 1.8523 Dy
6.6954 -5.9681 1.8523 Dy
14.4764 1.8434 1.8523 Dy
10.1021 -5.9681 1.8523 Dy
14.4764 -1.8434 1.8523 Dy
```



# 2
The following is a DFT calculation (GGA-PBE) of a relaxed structure of TbPr2Dy3.

Computed properties:
E above lowest polymorph, meV per atom: 23
Calculated volume, Å³/atom: 33.7
Space-group type: C2/m, No. 12
Calculated formation energy, kJ/mol of atoms: 12
E_tot, hartree per atom: -0.1670

POSCAR file:
```
TbPr2Dy3
1.0
11.7467 -1.7574 0.0000
11.7467 1.7574 0.0000
-3.2675 0.0000 9.7880
Tb Pr Dy
2 4 6
Cartesian
4.3314 0.0000 0.3537 Tb
15.8944 0.0000 9.4344 Tb
3.2659 0.0000 3.6253 Pr
7.3162 0.0000 8.4706 Pr
12.9096 0.0000 1.3174 Pr
16.9599 0.0000 6.1627 Pr
-0.0807 0.0000 4.3625 Dy
2.2319 0.0000 7.0079 Dy
9.3335 0.0000 2.3040 Dy
10.8923 0.0000 7.4841 Dy
17.9939 0.0000 2.7801 Dy
20.3065 0.0000 5.4255 Dy
```